# 1
La6Sm5Th | PBE-GGA | optimized geometry

Mass density   7.14 g cm⁻³
Raw total energy   -5.017 eV/atom
Total magnetic moment   0.000 Bohr magnetons per cell

Structure (CIF):
```
data_La6Sm5Th
_chemical_formula_sum 'La12 Sm10 Th2'
_cell_length_a 5.217
_cell_length_b 10.367
_cell_length_c 15.631
_cell_angle_alpha 90.00
_cell_angle_beta 90.00
_cell_angle_gamma 90.00
_symmetry_space_group_name_H-M 'I m m m'
_symmetry_Int_Tables_number 71
_symmetry_space_group_name_Hall '-I 2 2'
loop_
_atom_site_label
_atom_site_type_symbol
_atom_site_fract_x
_atom_site_fract_y
_atom_site_fract_z
La1 La 0.000 0.246 0.000
La2 La 0.000 0.251 0.337
Sm1 Sm 0.000 0.000 0.161
Sm2 Sm 0.000 0.000 0.500
Sm3 Sm 0.000 0.500 0.168
Th1 Th 0.000 0.500 0.500
```

---

# 2
CuNiBr | PBE-GGA | optimized geometry

Mass density   6.77 g cm⁻³
Formation energy without anion corrections   0.452 eV/atom
Raw total energy   -3.398 eV/atom
Total magnetic moment   0.002 Bohr magnetons per cell

Structure (CIF):
```
data_CuNiBr
_chemical_formula_sum 'Cu4 Ni4 Br4'
_cell_length_a 5.832
_cell_length_b 5.832
_cell_length_c 5.832
_cell_angle_alpha 90.00
_cell_angle_beta 90.00
_cell_angle_gamma 90.00
_symmetry_space_group_name_H-M 'F -4 3 m'
_symmetry_Int_Tables_number 216
_symmetry_space_group_name_Hall 'F -4 2 3'
loop_
_atom_site_label
_atom_site_type_symbol
_atom_site_fract_x
_atom_site_fract_y
_atom_site_fract_z
Cu1 Cu 0.000 0.000 0.000
Ni1 Ni 0.250 0.250 0.750
Br1 Br 0.000 0.000 0.500
```